Li4Pu3PaSe8 | PBE | relaxed

Properties
The calculation puts the total DFT energy (no corrections) at -6.71 eV per atom. As for the space group: C2/m (12).

Lattice parameters (Å, degrees): 9.636 11.388 7.207 125.82 131.95 90.00
Fractional coordinates of all 16 atoms:
Li1 0.000 0.000 0.000
Li2 0.000 0.000 0.500
Li3 0.500 0.000 0.000
Li4 0.500 0.000 0.500
Se1 0.043 0.258 0.594
Se2 0.447 0.739 0.894
Se3 0.958 0.744 0.915
Se4 0.551 0.258 0.594
Se5 0.553 0.261 0.106
Se6 0.042 0.256 0.085
Se7 0.449 0.742 0.406
Se8 0.957 0.742 0.406
Pa1 0.000 0.500 0.000
Pu1 0.500 0.500 0.000
Pu2 0.500 0.500 0.500
Pu3 0.000 0.500 0.500